Material: AcDyInPb
Method: DFT, PBE
State: optimized geometry

Calculated values
N(E_F) ... 3.029 states/eV per cell
Size of the total moment ... 0.000 μB per formula unit
Energy relative to the elements ... -0.393 eV/atom
Calculated density ... 9.35 g/cm³

abc: 5.632 5.632 5.632
angles: 60.00 60.00 60.00
Element x y z (fractional)
Pb 0.750 0.750 0.750
In 0.250 0.250 0.250
Ac 0.500 0.500 0.500
Dy 0.000 0.000 0.000

***

Material: AcDyInPd
Method: DFT, PBE
State: optimized geometry

Calculated values
N(E_F) ... 4.041 states/eV per cell
Size of the total moment ... 0.000 μB per formula unit
Energy relative to the elements ... -0.486 eV/atom
Calculated density ... 9.09 g/cm³

abc: 5.403 5.403 5.403
angles: 60.00 60.00 60.00
Element x y z (fractional)
In 0.250 0.250 0.250
Ac 0.000 0.000 0.000
Pd 0.750 0.750 0.750
Dy 0.500 0.500 0.500